Ca2Ag (PBEsol, relaxed); VASP energy = -0.19902 Ry/atom; ΔH_f (0 K) = -182 meV per atom
1.0
-3.094 -2.275 0.888
4.443 -5.111 2.386
-0.431 5.836 4.703
Ca Ag
4 2
Direct
0.020 0.266 0.041
0.717 0.742 0.433
0.980 0.734 0.959
0.283 0.258 0.567
0.390 0.944 0.780
0.610 0.056 0.220